(1)
The following is a GGA-PBE calculation of a geometry-optimized SmEr5Tl structure, from Alexandria.

Total DFT energy (no corrections): -0.1304 Ha/atom
Calculated formation energy: 722 meV per atom

a b c (Å): 7.925 11.430 6.201
angles (deg): 90.00 90.00 90.00
Space group Imm2 (No. 44)
Asymmetric unit:
Sm 0.000 0.000 0.000 x2
Er 0.000 0.253 0.398 x4
Er 0.000 0.500 0.707 x2
Er 0.186 0.000 0.499 x4
Tl 0.000 0.500 0.235 x2

(2)
The following is a GGA-PBE calculation of a geometry-optimized Sm8ErTl6 structure, from Alexandria.

Total DFT energy (no corrections): -0.1441 Ha/atom
Calculated formation energy: -152 meV per atom

a b c (Å): 9.2504 9.2504 19.7475
angles (deg): 90.00 90.00 120.00
Space group R-3 (No. 148, hexagonal axes)
Asymmetric unit:
Sm 0.0000 0.0000 0.1658 x6
Sm 0.0006 0.6654 0.3899 x18
Er 0.0000 0.0000 0.5000 x3
Tl 0.0001 0.3281 0.4394 x18

(3)
The following is a GGA-PBE calculation of a geometry-optimized Sm2Er2Tl5 structure, from Alexandria.

Total DFT energy (no corrections): -0.1297 Ha/atom
Calculated formation energy: -152 meV per atom

a b c (Å): 15.248 7.189 9.795
angles (deg): 90.00 90.00 90.00
Space group Ima2 (No. 46)
Asymmetric unit:
Sm 0.129 0.037 0.000 x8
Er 0.000 0.000 0.565 x4
Er 0.250 0.521 0.941 x4
Tl 0.045 0.194 0.286 x8
Tl 0.151 0.712 0.223 x8
Tl 0.250 0.204 0.719 x4

(4)
The following is a GGA-PBE calculation of a geometry-optimized SmEr12Tl3 structure, from Alexandria.

Total DFT energy (no corrections): -0.1572 Ha/atom
Calculated formation energy: -116 meV per atom

a b c (Å): 4.828 4.828 19.718
angles (deg): 90.00 90.00 90.00
Space group P4/mmm (No. 123)
Asymmetric unit:
Sm 0.000 0.000 0.000 x1
Er 0.000 0.500 0.131 x4
Er 0.000 0.500 0.377 x4
Er 0.500 0.500 0.000 x1
Er 0.500 0.500 0.256 x2
Er 0.500 0.500 0.500 x1
Tl 0.000 0.000 0.257 x2
Tl 0.000 0.000 0.500 x1

(5)
The following is a GGA-PBE calculation of a geometry-optimized Sm6Er3Tl structure, from Alexandria.

Total DFT energy (no corrections): -0.1623 Ha/atom
Calculated formation energy: 21 meV per atom
Polymorph energy (0 for the lowest one): 0.000 eV per atom

a b c (Å): 12.301 3.595 14.742
angles (deg): 90.00 93.84 90.00
Space group P2_1/m (No. 11)
Asymmetric unit:
Sm 0.064 0.250 0.390 x2
Sm 0.120 0.750 0.953 x2
Sm 0.200 0.250 0.752 x2
Sm 0.295 0.750 0.312 x2
Sm 0.309 0.250 0.107 x2
Sm 0.388 0.250 0.498 x2
Er 0.074 0.750 0.181 x2
Er 0.400 0.750 0.919 x2
Er 0.449 0.750 0.697 x2
Tl 0.188 0.750 0.558 x2

(6)
The following is a GGA-PBE calculation of a geometry-optimized SmEr2Tl2 structure, from Alexandria.

Total DFT energy (no corrections): -0.1468 Ha/atom
Calculated formation energy: -278 meV per atom
Polymorph energy (0 for the lowest one): 0.000 eV per atom

a b c (Å): 5.255 6.614 9.181
angles (deg): 103.13 90.03 113.33
Space group P-1 (No. 2)
Asymmetric unit:
Sm 0.067 0.133 0.353 x2
Er 0.252 0.503 0.753 x2
Er 0.431 0.860 0.140 x2
Tl 0.136 0.272 0.041 x2
Tl 0.364 0.729 0.447 x2

(7)
The following is a GGA-PBE calculation of a geometry-optimized Sm6ErTl3 structure, from Alexandria.

Total DFT energy (no corrections): -0.1539 Ha/atom
Calculated formation energy: -191 meV per atom

a b c (Å): 10.350 5.272 11.544
angles (deg): 90.00 101.11 90.00
Space group P2_1/m (No. 11)
Asymmetric unit:
Sm 0.055 0.250 0.408 x2
Sm 0.147 0.750 0.183 x2
Sm 0.234 0.250 0.989 x2
Sm 0.313 0.750 0.786 x2
Sm 0.376 0.250 0.290 x2
Sm 0.400 0.250 0.597 x2
Er 0.458 0.750 0.097 x2
Tl 0.037 0.750 0.889 x2
Tl 0.122 0.250 0.698 x2
Tl 0.274 0.750 0.464 x2

(8)
The following is a GGA-PBE calculation of a geometry-optimized SmEr2Tl structure, from Alexandria.

Total DFT energy (no corrections): -0.1526 Ha/atom
Calculated formation energy: -100 meV per atom
Polymorph energy (0 for the lowest one): 0.076 eV per atom

a b c (Å): 3.5933 3.5933 32.7160
angles (deg): 90.00 90.00 120.00
Space group R3m (No. 160, hexagonal axes)
Asymmetric unit:
Sm 0.0000 0.0000 0.0000 x3
Er 0.0000 0.0000 0.5783 x3
Er 0.0000 0.0000 0.7554 x3
Tl 0.0000 0.0000 0.1666 x3

(9)
The following is a GGA-PBE calculation of a geometry-optimized Sm5Er4Tl4 structure, from Alexandria.

Total DFT energy (no corrections): -0.1542 Ha/atom
Calculated formation energy: -249 meV per atom

a b c (Å): 12.473 12.473 5.054
angles (deg): 90.00 90.00 90.00
Space group I4/m (No. 87)
Asymmetric unit:
Sm 0.000 0.000 0.000 x2
Sm 0.104 0.191 0.500 x8
Er 0.094 0.399 0.000 x8
Tl 0.098 0.762 0.000 x8

(10)
The following is a GGA-PBE calculation of a geometry-optimized SmEr8Tl2 structure, from Alexandria.

Total DFT energy (no corrections): -0.1533 Ha/atom
Calculated formation energy: 6 meV per atom

a b c (Å): 8.805 15.064 5.570
angles (deg): 90.00 113.50 90.00
Space group C2/m (No. 12)
Asymmetric unit:
Sm 0.000 0.000 0.000 x2
Er 0.000 0.218 0.000 x4
Er 0.095 0.500 0.797 x4
Er 0.209 0.114 0.620 x8
Tl 0.000 0.306 0.500 x4

(11)
The following is a GGA-PBE calculation of a geometry-optimized Sm2ErTl structure, from Alexandria.

Total DFT energy (no corrections): -0.1546 Ha/atom
Calculated formation energy: -114 meV per atom
Polymorph energy (0 for the lowest one): 0.037 eV per atom

a b c (Å): 8.020 3.603 8.738
angles (deg): 90.00 90.90 90.00
Space group P2_1/m (No. 11)
Asymmetric unit:
Sm 0.073 0.250 0.334 x2
Sm 0.218 0.250 0.939 x2
Er 0.341 0.750 0.600 x2
Tl 0.402 0.750 0.217 x2

(12)
The following is a GGA-PBE calculation of a geometry-optimized SmErTl2 structure, from Alexandria.

Total DFT energy (no corrections): -0.1381 Ha/atom
Calculated formation energy: -255 meV per atom
Polymorph energy (0 for the lowest one): 0.096 eV per atom

a b c (Å): 3.7680 3.7680 29.0573
angles (deg): 90.00 90.00 120.00
Space group R-3m (No. 166, hexagonal axes)
Asymmetric unit:
Sm 0.0000 0.0000 0.0000 x3
Er 0.0000 0.0000 0.5000 x3
Tl 0.0000 0.0000 0.2481 x6

(13)
The following is a GGA-PBE calculation of a geometry-optimized Sm5ErTl4 structure, from Alexandria.

Total DFT energy (no corrections): -0.1391 Ha/atom
Calculated formation energy: -23 meV per atom
Polymorph energy (0 for the lowest one): 0.264 eV per atom

a b c (Å): 8.355 9.321 8.631
angles (deg): 90.00 90.00 90.00
Space group Pmmn (No. 59, origin choice 2)
Asymmetric unit:
Sm 0.012 0.056 0.233 x8
Sm 0.250 0.750 0.171 x2
Er 0.250 0.250 0.584 x2
Tl 0.082 0.250 0.935 x4
Tl 0.250 0.584 0.501 x4

(14)
The following is a GGA-PBE calculation of a geometry-optimized Sm2ErTl9 structure, from Alexandria.

Total DFT energy (no corrections): -0.1178 Ha/atom
Calculated formation energy: -263 meV per atom

a b c (Å): 4.790 4.790 14.369
angles (deg): 90.00 90.00 90.00
Space group P4/mmm (No. 123)
Asymmetric unit:
Sm 0.000 0.000 0.167 x2
Er 0.000 0.000 0.500 x1
Tl 0.000 0.500 0.000 x2
Tl 0.000 0.500 0.336 x4
Tl 0.500 0.500 0.167 x2
Tl 0.500 0.500 0.500 x1

(15)
The following is a GGA-PBE calculation of a geometry-optimized Sm2Er7Tl2 structure, from Alexandria.

Total DFT energy (no corrections): -0.1545 Ha/atom
Calculated formation energy: -12 meV per atom

a b c (Å): 3.648 19.653 9.613
angles (deg): 90.00 90.00 90.00
Space group Imm2 (No. 44)
Asymmetric unit:
Sm 0.000 0.000 0.000 x2
Sm 0.000 0.500 0.167 x2
Er 0.000 0.000 0.346 x2
Er 0.000 0.134 0.821 x4
Er 0.000 0.339 0.009 x4
Er 0.000 0.367 0.641 x4
Tl 0.000 0.242 0.296 x4

(16)
The following is a GGA-PBE calculation of a geometry-optimized Sm3Er4Tl2 structure, from Alexandria.

Total DFT energy (no corrections): -0.1537 Ha/atom
Calculated formation energy: -57 meV per atom

a b c (Å): 13.946 12.630 6.428
angles (deg): 90.00 99.91 90.00
Space group C2/c (No. 15)
Asymmetric unit:
Sm 0.000 0.029 0.250 x4
Sm 0.108 0.436 0.086 x8
Er 0.086 0.277 0.572 x8
Er 0.179 0.165 0.084 x8
Tl 0.213 0.085 0.563 x8

(17)
The following is a GGA-PBE calculation of a geometry-optimized Sm6Er2Tl structure, from Alexandria.

Total DFT energy (no corrections): -0.1638 Ha/atom
Calculated formation energy: -36 meV per atom
Polymorph energy (0 for the lowest one): 0.031 eV per atom

a b c (Å): 10.761 10.761 4.946
angles (deg): 90.00 90.00 90.00
Space group P4_2/mnm (No. 136)
Asymmetric unit:
Sm 0.002 0.334 0.000 x8
Sm 0.160 0.160 0.500 x4
Er 0.163 0.837 0.500 x4
Tl 0.000 0.000 0.000 x2

(18)
The following is a GGA-PBE calculation of a geometry-optimized Sm6Er2Tl structure, from Alexandria.

Total DFT energy (no corrections): -0.1650 Ha/atom
Calculated formation energy: -67 meV per atom
Polymorph energy (0 for the lowest one): 0.000 eV per atom

a b c (Å): 21.332 6.269 9.077
angles (deg): 90.00 109.60 90.00
Space group C2/c (No. 15)
Asymmetric unit:
Sm 0.053 0.176 0.135 x8
Sm 0.111 0.353 0.529 x8
Sm 0.163 0.165 0.916 x8
Er 0.223 0.332 0.305 x8
Tl 0.000 0.331 0.750 x4

(19)
The following is a GGA-PBE calculation of a geometry-optimized Sm3Er8Tl structure, from Alexandria.

Total DFT energy (no corrections): -0.1427 Ha/atom
Calculated formation energy: 537 meV per atom

a b c (Å): 8.612 8.612 11.231
angles (deg): 90.00 90.00 90.00
Space group I-42m (No. 121)
Asymmetric unit:
Sm 0.000 0.000 0.000 x2
Sm 0.000 0.500 0.250 x4
Er 0.127 0.127 0.756 x8
Er 0.247 0.247 0.017 x8
Tl 0.000 0.000 0.500 x2

no.,volume (A^3/atom),DOS(E_F) (states/eV/atom)
1,40.1,1.11
2,32.5,1.55
3,29.8,0.84
4,28.7,1.21
5,32.5,1.40
6,28.4,0.66
7,30.9,1.31
8,30.5,1.31
9,30.2,0.95
10,30.8,1.31
11,31.6,1.41
12,29.8,0.55
13,33.6,0.98
14,27.5,0.29
15,31.3,1.36
16,31.0,1.08
17,31.8,1.51
18,31.8,1.39
19,34.7,1.46